Here is a relaxed structure of K2U2VS6 from Alexandria. Energies are from PBE.

extended XYZ file:
```
11
Lattice="3.3499 -5.7301 0.0000 3.3499 5.7301 0.0000 -2.2315 0.0000 7.5840" Properties=species:S:1:pos:R:3 pbc="T T T"
K 3.3499 3.7920 0.0000
K 3.3499 -3.7920 0.0000
U 2.2341 1.8973 3.7920
U 2.2341 -1.8973 3.7920
V -1.1158 0.0000 3.7920
S -0.0528 1.8090 5.2464
S 0.9592 0.0000 2.3380
S -0.0528 -1.8090 5.2464
S 4.5211 1.8090 2.3376
S 3.5091 0.0000 5.2460
S 4.5211 -1.8090 2.3376
```

Properties
theoretical density	4.549	g/cm³
raw formation energy	-1.306	eV per atom
symmetry	No. 12


Here is a relaxed structure of KTcPb2 from Alexandria. Energies are from PBE.

extended XYZ file:
```
8
Lattice="4.6228 0.0000 0.0000 0.0000 4.6388 0.0000 0.0000 0.0000 10.5780" Properties=species:S:1:pos:R:3 pbc="T T T"
K 0.0000 0.0000 0.0000
K 2.3114 2.3194 0.0000
Tc 0.0000 2.3194 7.9172
Tc 2.3114 0.0000 7.9172
Pb 0.0000 0.0000 6.1381
Pb 0.0000 2.3194 3.2327
Pb 2.3114 0.0000 3.2327
Pb 2.3114 2.3194 6.1381
```

Properties
theoretical density	8.074	g/cm³
symmetry	No. 35
energy relative to the elements	756	meV/atom
energy above the lowest structure with this stoichiometry	506	meV per atom


Here is a relaxed structure of GaNi3 from Alexandria. Energies are from PBE.

extended XYZ file:
```
8
Lattice="2.6263 0.0000 0.0000 0.0000 8.2411 0.0000 0.0000 0.0000 4.2710" Properties=species:S:1:pos:R:3 pbc="T T T"
Ga 0.0000 0.0000 0.0000
Ga 1.3132 4.1206 2.1355
Ni 0.0000 2.0741 1.5399
Ni 0.0000 4.1206 4.2692
Ni 0.0000 6.1670 1.5399
Ni 1.3132 0.0000 2.1337
Ni 1.3132 2.0464 3.6754
Ni 1.3132 6.1947 3.6754
```

Properties
theoretical density	8.831	g/cm³
symmetry	No. 44
energy relative to the elements	-209	meV/atom


Here is a relaxed structure of Sm2ErScSe4 from Alexandria. Energies are from PBE.

extended XYZ file:
```
8
Lattice="6.9796 0.0000 0.0000 0.0000 4.0097 0.0000 -2.3125 0.0000 6.8050" Properties=species:S:1:pos:R:3 pbc="T T T"
Sm 0.0000 0.0000 0.0000
Sm 3.4898 2.0049 0.0000
Er -1.1563 2.0049 3.4025
Sc 2.3336 0.0000 3.4025
Se 0.0473 0.0000 4.9893
Se 1.2057 2.0049 1.8420
Se 3.4614 2.0049 4.9629
Se 4.6198 0.0000 1.8156
```

Properties
theoretical density	7.226	g/cm³
raw formation energy	-1.724	eV per atom
symmetry	No. 10


Here is a relaxed structure of NbHg4 from Alexandria. Energies are from PBE.

extended XYZ file:
```
5
Lattice="5.6572 0.0000 0.0000 0.0000 5.6572 0.0000 0.0000 0.0000 5.6572" Properties=species:S:1:pos:R:3 pbc="T T T"
Nb 0.0000 0.0000 0.0000
Hg 0.0000 0.0000 2.8286
Hg 0.0000 2.8286 0.0000
Hg 2.8286 0.0000 0.0000
Hg 2.8286 2.8286 2.8286
```

Properties
theoretical density	8.211	g/cm³
symmetry	No. 221
energy relative to the elements	659	meV/atom


Here is a relaxed structure of ReBiMoH2 from Alexandria. Energies are from PBE.

extended XYZ file:
```
5
Lattice="3.8450 0.0000 0.0000 0.0000 3.8450 0.0000 0.0000 0.0000 5.4812" Properties=species:S:1:pos:R:3 pbc="T T T"
Re 0.0000 0.0000 0.0000
Bi 0.0000 0.0000 2.7406
Mo 1.9225 1.9225 2.7406
H 0.0000 1.9225 0.0000
H 1.9225 0.0000 0.0000
```

Properties
theoretical density	10.106	g/cm³
E_tot	-27.25	eV for the cell shown
symmetry	No. 123


Here is a relaxed structure of Rb2FePb from Alexandria. Energies are from PBE.

extended XYZ file:
```
16
Lattice="13.4041 0.0000 0.0000 0.0000 13.4041 0.0000 0.0000 0.0000 5.1066" Properties=species:S:1:pos:R:3 pbc="T T T"
Rb 0.7030 10.0531 0.6383
Rb 3.3510 0.7030 4.4683
Rb 3.3510 5.9990 1.9150
Rb 5.9990 10.0531 3.1916
Rb 7.4051 3.3510 3.1916
Rb 10.0531 7.4051 1.9150
Rb 10.0531 12.7011 4.4683
Rb 12.7011 3.3510 0.6383
Fe 0.0000 0.0000 0.0000
Fe 0.0000 6.7021 1.2767
Fe 6.7021 0.0000 3.8300
Fe 6.7021 6.7021 2.5533
Pb 0.0000 0.0000 2.5533
Pb 0.0000 6.7021 3.8300
Pb 6.7021 0.0000 1.2767
Pb 6.7021 6.7021 0.0000
```

Properties
theoretical density	3.142	g/cm³
symmetry	No. 122
energy relative to the elements	524	meV/atom


Here is a relaxed structure of KSn2Pd3 from Alexandria. Energies are from PBE.

extended XYZ file:
```
12
Lattice="8.4024 -2.3305 0.0000 8.4024 2.3305 0.0000 -3.5086 0.0000 7.4169" Properties=species:S:1:pos:R:3 pbc="T T T"
K 2.4807 0.0000 0.6743
K 10.8155 0.0000 6.7426
Sn 0.5860 0.0000 4.4351
Sn 5.2622 0.0000 5.9503
Sn 8.0340 0.0000 1.4666
Sn 12.7102 0.0000 2.9818
Pd -2.3215 0.0000 4.9918
Pd 3.2483 0.0000 4.1386
Pd 5.6016 0.0000 2.6285
Pd 7.6945 0.0000 4.7884
Pd 10.0479 0.0000 3.2783
Pd 15.6177 0.0000 2.4251
```

Properties
theoretical density	6.812	g/cm³
symmetry	No. 12
energy relative to the elements	-409	meV/atom


Here is a relaxed structure of CaHgAs from Alexandria. Energies are from PBE.

extended XYZ file:
```
6
Lattice="3.7893 0.0000 0.0000 0.0000 3.7893 0.0000 0.0000 0.0000 10.2625" Properties=species:S:1:pos:R:3 pbc="T T T"
Ca 0.0000 0.0000 0.0000
Ca 1.8947 1.8947 5.1312
Hg 0.0000 0.0000 7.0025
Hg 1.8947 1.8947 1.8713
As 0.0000 0.0000 3.4489
As 1.8947 1.8947 8.5801
```

Properties
theoretical density	7.113	g/cm³
symmetry	No. 107
energy relative to the elements	-462	meV/atom
energy above the lowest structure with this stoichiometry	129	meV per atom


Here is a relaxed structure of ScTaAu from Alexandria. Energies are from PBE.

extended XYZ file:
```
3
Lattice="3.0870 0.0000 0.0000 -1.5435 2.6734 0.0000 0.0000 0.0000 7.0854" Properties=species:S:1:pos:R:3 pbc="T T T"
Sc 0.0000 0.0000 0.0000
Ta 0.0000 1.7823 2.3757
Au 1.5435 0.8911 4.6905
```

Properties
theoretical density	12.009	g/cm³
symmetry	No. 156
energy relative to the elements	-29	meV/atom
energy above the lowest structure with this stoichiometry	189	meV per atom


Here is a relaxed structure of Y3HoEr4 from Alexandria. Energies are from PBE.

extended XYZ file:
```
16
Lattice="11.1808 0.0000 0.0000 0.0000 7.2367 0.0000 0.0000 0.0000 6.2525" Properties=species:S:1:pos:R:3 pbc="T T T"
Y 0.0000 0.9155 0.0000
Y 2.7918 0.9162 2.1022
Y 2.7987 6.3205 5.2285
Y 5.5904 6.3212 3.1263
Y 8.3891 0.9162 2.1022
Y 8.3822 6.3205 5.2285
Ho 0.0000 6.3172 3.1291
Ho 5.5904 0.9195 0.0028
Er 0.0000 2.7304 3.1509
Er 0.0000 4.5120 0.0205
Er 2.7870 4.5113 2.0933
Er 2.8035 2.7254 5.2196
Er 5.5904 2.7246 3.1468
Er 5.5904 4.5063 0.0246
Er 8.3774 2.7254 5.2196
Er 8.3939 4.5113 2.0933
```

Properties
theoretical density	7.226	g/cm³
symmetry	No. 31
energy relative to the elements	0	meV/atom
energy above the lowest structure with this stoichiometry	0	meV per atom


Here is a relaxed structure of NdBi2Pt9 from Alexandria. Energies are from PBE.

extended XYZ file:
```
12
Lattice="2.7282 1.5751 8.9632 -2.7282 1.5751 8.9632 0.0000 -3.1503 8.9632" Properties=species:S:1:pos:R:3 pbc="T T T"
Nd 0.0000 0.0000 0.0000
Bi 0.0000 0.0000 3.5804
Bi 0.0000 0.0000 23.3092
Pt -1.3708 -0.7914 11.2110
Pt 0.0000 0.0000 8.9413
Pt 0.0000 -1.5828 15.6786
Pt -1.3708 0.7914 15.6786
Pt 0.0000 0.0000 13.4448
Pt 1.3708 -0.7914 11.2110
Pt 0.0000 1.5828 11.2110
Pt 0.0000 0.0000 17.9484
Pt 1.3708 0.7914 15.6786
```

Properties
theoretical density	16.655	g/cm³
symmetry	No. 166
energy relative to the elements	-394	meV/atom


Here is a relaxed structure of SrScTlPb from Alexandria. Energies are from PBE.

extended XYZ file:
```
16
Lattice="7.7471 0.0000 0.0000 0.0000 7.7471 0.0000 0.0000 0.0000 7.7471" Properties=species:S:1:pos:R:3 pbc="T T T"
Sr 0.0000 0.0000 0.0000
Sr 0.0000 3.8736 3.8736
Sr 3.8736 0.0000 3.8736
Sr 3.8736 3.8736 0.0000
Sc 0.0000 0.0000 3.8736
Sc 0.0000 3.8736 0.0000
Sc 3.8736 0.0000 0.0000
Sc 3.8736 3.8736 3.8736
Tl 1.9368 1.9368 5.8103
Tl 1.9368 5.8103 1.9368
Tl 5.8103 1.9368 1.9368
Tl 5.8103 5.8103 5.8103
Pb 1.9368 1.9368 1.9368
Pb 1.9368 5.8103 5.8103
Pb 5.8103 1.9368 5.8103
Pb 5.8103 5.8103 1.9368
```

Properties
theoretical density	7.774	g/cm³
symmetry	No. 216
energy relative to the elements	-276	meV/atom


Here is a relaxed structure of LiTc2Ru from Alexandria. Energies are from PBE.

extended XYZ file:
```
8
Lattice="3.0175 0.0000 0.0000 0.0000 4.3768 0.0000 0.0000 0.0000 8.3972" Properties=species:S:1:pos:R:3 pbc="T T T"
Li 0.0000 0.0000 0.0000
Li 1.5088 2.1884 4.1986
Tc 0.0000 0.0000 4.2314
Tc 0.0000 2.1884 2.0089
Tc 1.5088 0.0000 6.2075
Tc 1.5088 2.1884 0.0328
Ru 0.0000 2.1884 6.3320
Ru 1.5088 0.0000 2.1334
```

Properties
theoretical density	9.104	g/cm³
symmetry	No. 44
energy relative to the elements	228	meV/atom
energy above the lowest structure with this stoichiometry	62	meV per atom


Here is a relaxed structure of Ba3TmU2S9 from Alexandria. Energies are from PBE.

extended XYZ file:
```
15
Lattice="7.3743 0.0000 0.0000 -3.6872 6.3864 0.0000 0.0000 0.0000 9.0574" Properties=species:S:1:pos:R:3 pbc="T T T"
Ba 0.0000 0.0000 0.0000
Ba 0.0000 4.2576 5.9464
Ba 3.6872 2.1288 3.1109
Tm 0.0000 0.0000 4.5287
U 0.0000 4.2576 1.5372
U 3.6872 2.1288 7.5202
S -1.8436 3.1932 0.0000
S 0.0000 2.1358 3.0084
S -1.8375 5.3185 3.0084
S 1.8497 1.0679 6.0490
S 3.6872 0.0000 0.0000
S 1.8436 3.1932 0.0000
S 1.8375 5.3185 3.0084
S 5.5247 1.0679 6.0490
S 3.6872 4.2506 6.0490
```

Properties
theoretical density	5.238	g/cm³
raw formation energy	-1.771	eV per atom
symmetry	No. 164


Here is a relaxed structure of BiPd2C from Alexandria. Energies are from PBE.

extended XYZ file:
```
16
Lattice="6.4249 0.0000 0.0000 0.0000 6.4249 0.0000 0.0000 0.0000 6.4249" Properties=species:S:1:pos:R:3 pbc="T T T"
Bi 0.0000 0.0000 0.0000
Bi 0.0000 3.2125 3.2125
Bi 3.2125 0.0000 3.2125
Bi 3.2125 3.2125 0.0000
Pd 1.6062 1.6062 1.6062
Pd 1.6062 1.6062 4.8187
Pd 1.6062 4.8187 1.6062
Pd 1.6062 4.8187 4.8187
Pd 4.8187 1.6062 1.6062
Pd 4.8187 1.6062 4.8187
Pd 4.8187 4.8187 1.6062
Pd 4.8187 4.8187 4.8187
C 0.0000 0.0000 3.2125
C 0.0000 3.2125 0.0000
C 3.2125 0.0000 0.0000
C 3.2125 3.2125 3.2125
```

Properties
theoretical density	10.865	g/cm³
symmetry	No. 225
energy relative to the elements	1095	meV/atom
energy above the lowest structure with this stoichiometry	581	meV per atom


Here is a relaxed structure of BiTeIrAu2 from Alexandria. Energies are from PBE.

extended XYZ file:
```
5
Lattice="5.0236 0.0000 0.0000 0.0000 5.0236 0.0000 0.0000 0.0000 6.2390" Properties=species:S:1:pos:R:3 pbc="T T T"
Bi 0.0000 0.0000 0.0000
Te 0.0000 0.0000 3.1195
Ir 2.5118 2.5118 0.0000
Au 0.0000 2.5118 3.1195
Au 2.5118 0.0000 3.1195
```

Properties
theoretical density	9.731	g/cm³
raw formation energy	1.369	eV per atom
symmetry	No. 123


Here is a relaxed structure of RuBrO3 from Alexandria. Energies are from PBE.

extended XYZ file:
```
10
Lattice="5.8083 0.0000 0.0000 0.0000 6.3905 0.0000 -0.9842 0.0000 6.4885" Properties=species:S:1:pos:R:3 pbc="T T T"
Ru 0.8392 1.5976 2.1396
Ru 3.9849 4.7929 4.3489
Br -0.1264 4.7929 5.9705
Br 4.9505 1.5976 0.5180
O 0.1345 1.5976 3.7084
O 1.7493 0.1734 1.7652
O 1.7493 3.0218 1.7652
O 3.0747 3.3687 4.7233
O 3.0747 6.2171 4.7233
O 4.6895 4.7929 2.7801
```

Properties
theoretical density	3.157	g/cm³
raw formation energy	-0.437	eV per atom
symmetry	No. 11


Here is a relaxed structure of BIr3Br from Alexandria. Energies are from PBE.

extended XYZ file:
```
5
Lattice="4.6260 0.0000 0.0000 0.0000 4.6260 0.0000 0.0000 0.0000 4.6260" Properties=species:S:1:pos:R:3 pbc="T T T"
B 0.0000 0.0000 0.0000
Ir 0.0000 2.3130 2.3130
Ir 2.3130 0.0000 2.3130
Ir 2.3130 2.3130 0.0000
Br 2.3130 2.3130 2.3130
```

Properties
theoretical density	11.195	g/cm³
raw formation energy	2.757	eV per atom
symmetry	No. 221
energy above the lowest structure with this stoichiometry	1905	meV per atom


Here is a relaxed structure of LaPbBr3 from Alexandria. Energies are from PBE.

extended XYZ file:
```
5
Lattice="5.8923 0.0000 0.0000 0.0000 5.8923 0.0000 0.0000 0.0000 5.8923" Properties=species:S:1:pos:R:3 pbc="T T T"
La 0.0000 0.0000 0.0000
Pb 2.9461 2.9461 2.9461
Br 0.0000 0.0000 2.9461
Br 0.0000 2.9461 0.0000
Br 2.9461 0.0000 0.0000
```

Properties
theoretical density	4.755	g/cm³
raw formation energy	-1.019	eV per atom
symmetry	No. 221